Computed, not measured: crystalline AcTbCe2As4 at its relaxed geometry at the PBE level of DFT.

Structure (CIF):
```
data_AcTbCe2As4
_space_group_name_H-M_alt 'P 1 2/m 1'
_space_group_IT_number 10
_space_group_name_Hall '-P 2y'
_cell_length_a 7.421
_cell_length_b 4.286
_cell_length_c 7.433
_cell_angle_alpha 90.00
_cell_angle_beta 109.41
_cell_angle_gamma 90.00
loop_
_atom_site_label
_atom_site_fract_x
_atom_site_fract_y
_atom_site_fract_z
Ac1 0.000 0.000 0.000
Tb1 0.000 0.500 0.500
Ce1 0.500 0.000 0.500
Ce2 0.500 0.500 0.000
As1 0.254 0.000 0.741
As2 0.263 0.500 0.266
```

Values from the calculation:
- V: 223 Å³/f.u.


Computed, not measured: crystalline AcCe3Th2As6 at its relaxed geometry at the PBE level of DFT.

Structure (CIF):
```
data_AcCe3Th2As6
_space_group_name_H-M_alt 'C 1 2/m 1'
_space_group_IT_number 12
_space_group_name_Hall '-C 2y'
_cell_length_a 7.437
_cell_length_b 12.874
_cell_length_c 7.419
_cell_angle_alpha 90.00
_cell_angle_beta 109.52
_cell_angle_gamma 90.00
loop_
_atom_site_label
_atom_site_fract_x
_atom_site_fract_y
_atom_site_fract_z
Ac1 0.000 0.000 0.000
Ce1 0.000 0.164 0.500
Ce2 0.000 0.500 0.500
Th1 0.000 0.333 0.000
As1 0.241 0.500 0.255
As2 0.242 0.328 0.743
```

Values from the calculation:
- V: 335 Å³/f.u.


Computed, not measured: crystalline AcCe2Th3As6 at its relaxed geometry at the PBE level of DFT.

Structure (CIF):
```
data_AcCe2Th3As6
_space_group_name_H-M_alt 'C 1 2/m 1'
_space_group_IT_number 12
_space_group_name_Hall '-C 2y'
_cell_length_a 7.438
_cell_length_b 12.873
_cell_length_c 7.451
_cell_angle_alpha 90.00
_cell_angle_beta 109.46
_cell_angle_gamma 90.00
loop_
_atom_site_label
_atom_site_fract_x
_atom_site_fract_y
_atom_site_fract_z
Ac1 0.000 0.000 0.000
Ce1 0.000 0.333 0.000
Th1 0.000 0.164 0.500
Th2 0.000 0.500 0.500
As1 0.241 0.500 0.253
As2 0.243 0.328 0.743
```

Values from the calculation:
- V: 336 Å³/f.u.


Computed, not measured: crystalline Ac3CeTh2As6 at its relaxed geometry at the PBE level of DFT.

Structure (CIF):
```
data_Ac3CeTh2As6
_space_group_name_H-M_alt 'C 1 2/m 1'
_space_group_IT_number 12
_space_group_name_Hall '-C 2y'
_cell_length_a 7.587
_cell_length_b 13.142
_cell_length_c 7.637
_cell_angle_alpha 90.00
_cell_angle_beta 109.33
_cell_angle_gamma 90.00
loop_
_atom_site_label
_atom_site_fract_x
_atom_site_fract_y
_atom_site_fract_z
Ac1 0.000 0.000 0.000
Ac2 0.000 0.334 0.000
Ce1 0.000 0.500 0.500
Th1 0.000 0.167 0.500
As1 0.243 0.000 0.730
As2 0.244 0.333 0.730
```

Values from the calculation:
- V: 359 Å³/f.u.


Computed, not measured: crystalline Ac4CeTh3As8 at its relaxed geometry at the PBE level of DFT.

Structure (CIF):
```
data_Ac4CeTh3As8
_space_group_name_H-M_alt 'R -3 m'
_space_group_IT_number 166
_space_group_name_Hall '-R 3 2"'
_cell_length_a 8.7577
_cell_length_b 8.7577
_cell_length_c 21.6326
_cell_angle_alpha 90.00
_cell_angle_beta 90.00
_cell_angle_gamma 120.00
loop_
_atom_site_label
_atom_site_fract_x
_atom_site_fract_y
_atom_site_fract_z
Ac1 0.0000 0.0000 0.0000
Ac2 0.0000 0.5000 0.0000
Ce1 0.0000 0.0000 0.5000
Th1 0.0000 0.5000 0.5000
As1 0.0000 0.0000 0.2435
As2 0.0006 0.5003 0.7566
```

Values from the calculation:
- V: 479 Å³/f.u.


Computed, not measured: crystalline Ac2CeTmAs4 at its relaxed geometry at the PBE level of DFT.

Structure (CIF):
```
data_Ac2CeTmAs4
_space_group_name_H-M_alt 'P 1 2/m 1'
_space_group_IT_number 10
_space_group_name_Hall '-P 2y'
_cell_length_a 7.509
_cell_length_b 4.346
_cell_length_c 7.544
_cell_angle_alpha 90.00
_cell_angle_beta 109.42
_cell_angle_gamma 90.00
loop_
_atom_site_label
_atom_site_fract_x
_atom_site_fract_y
_atom_site_fract_z
Ac1 0.000 0.000 0.000
Ac2 0.500 0.500 0.000
Ce1 0.000 0.500 0.500
Tm1 0.500 0.000 0.500
As1 0.245 0.000 0.727
As2 0.261 0.500 0.275
```

Values from the calculation:
- V: 232 Å³/f.u.


Computed, not measured: crystalline AcCeTm2As4 at its relaxed geometry at the PBE level of DFT.

Structure (CIF):
```
data_AcCeTm2As4
_space_group_name_H-M_alt 'P 1 2/m 1'
_space_group_IT_number 10
_space_group_name_Hall '-P 2y'
_cell_length_a 7.311
_cell_length_b 4.234
_cell_length_c 7.342
_cell_angle_alpha 90.00
_cell_angle_beta 109.45
_cell_angle_gamma 90.00
loop_
_atom_site_label
_atom_site_fract_x
_atom_site_fract_y
_atom_site_fract_z
Ac1 0.000 0.000 0.000
Ce1 0.000 0.500 0.500
Tm1 0.500 0.000 0.500
Tm2 0.500 0.500 0.000
As1 0.265 0.000 0.747
As2 0.271 0.500 0.266
```

Values from the calculation:
- V: 214 Å³/f.u.


Computed, not measured: crystalline AcCe2TmAs4 at its relaxed geometry at the PBE level of DFT.

Structure (CIF):
```
data_AcCe2TmAs4
_space_group_name_H-M_alt 'P 1 2/m 1'
_space_group_IT_number 10
_space_group_name_Hall '-P 2y'
_cell_length_a 7.391
_cell_length_b 4.271
_cell_length_c 7.408
_cell_angle_alpha 90.00
_cell_angle_beta 109.42
_cell_angle_gamma 90.00
loop_
_atom_site_label
_atom_site_fract_x
_atom_site_fract_y
_atom_site_fract_z
Ac1 0.000 0.000 0.000
Ce1 0.500 0.000 0.500
Ce2 0.500 0.500 0.000
Tm1 0.000 0.500 0.500
As1 0.251 0.000 0.737
As2 0.261 0.500 0.268
```

Values from the calculation:
- V: 221 Å³/f.u.


Total DFT energy (no corrections), respectively: -6.3349, -6.8090, -6.9291, -6.5306, -6.5602, -6.0908, -6.1366, -6.2918 eV per atom.
DOS at the Fermi energy, respectively: 11.27, 38.56, 31.34, 17.39, 31.83, 6.15, 6.11, 11.28 states/eV per cell.